The following is a DFT calculation (PBE+U) of a relaxed structure of Li4Ti3Mn5O16.

Computed properties:
Total DFT energy (no corrections) ... -7.423 eV/atom
Size of the total moment ... 19.0 μB per formula unit

Cell and atoms, written as extended XYZ:
```
28
Lattice="5.918 -0.001 0.016 2.922 5.147 0.016 0.397 0.231 9.711" Properties=species:S:1:pos:R:3 pbc="T T T"
Ti 1.614 0.939 2.842
Li 3.223 1.876 5.904
Li 6.033 3.512 1.051
O 7.503 4.367 3.821
O 4.852 2.824 6.489
Mn 6.092 3.546 4.987
O 1.787 2.541 1.588
O 4.444 4.407 3.846
Li 8.884 5.171 4.932
O 9.084 5.287 6.733
O 6.226 3.624 8.696
O 4.437 2.583 1.670
O 3.092 0.299 1.588
Mn 7.652 4.454 7.700
O 3.330 3.639 8.784
O 6.091 5.135 6.454
Ti 6.255 1.917 7.630
Mn 3.017 1.756 0.154
Mn 3.086 3.479 2.760
Mn 4.549 0.965 2.760
O 1.710 0.995 8.670
O 6.027 1.688 3.846
O 7.474 2.759 6.454
Li 8.747 5.091 0.075
O 0.110 0.064 1.834
O 4.809 1.098 8.784
Ti 4.756 4.492 7.630
O 3.066 1.784 3.830
```